# CoAgWF2

An optimized crystal structure of CoAgWF2 (GGA+U, Alexandria).

abc: 4.126 5.280 4.126
angles: 90.00 90.00 90.00
Each line ends with the local moment (μB).
Fractional coordinates of all 5 atoms:
Co 0.000 0.500 0.000  -0.42
Ag 0.500 0.500 0.500  -0.02
W 0.000 0.000 0.000  2.56
F 0.000 0.000 0.500  0.03
F 0.500 0.000 0.000  0.08

Computed properties:
* Fermi-level density of states: 3.650 states/eV/cell
* symmetry: P4/mmm, No. 123
* total magnetic moment: 0.4864 μB/atom
* DFT total energy: -20.30 eV/cell